(1)
A plane-wave DFT calculation with PBE-GGA was carried out for crystalline K2SbOs at its relaxed geometry.

Geometry as extended XYZ:
```
4
Lattice="3.868 -2.232 0.000 3.868 2.232 0.000 -2.523 0.000 9.512" Properties=species:S:1:pos:R:3 pbc="T T T"
K 0.000 0.000 0.000
K 0.000 0.000 4.952
Sb 5.158 0.000 2.475
Os 2.580 0.000 2.474
```

Properties
Uncorrected energy, eV for the cell shown: -16.19
Space group: No. 8
Magnetic moment, μB/atom: 0.00

=====

(2)
A plane-wave DFT calculation with PBE-GGA was carried out for crystalline LaSi2AgAu5 at its relaxed geometry.

Geometry as extended XYZ:
```
9
Lattice="4.583 0.000 0.000 0.000 4.583 0.000 0.000 0.000 9.660" Properties=species:S:1:pos:R:3 pbc="T T T"
La 0.000 0.000 0.000
Si 2.291 2.291 2.362
Si 2.291 2.291 7.299
Ag 0.000 0.000 4.830
Au 0.000 2.291 3.142
Au 0.000 2.291 6.518
Au 2.291 0.000 3.142
Au 2.291 0.000 6.518
Au 2.291 2.291 0.000
```

Properties
Uncorrected energy, eV for the cell shown: -36.87
Space group: No. 123
Magnetic moment, μB/atom: 0.00

=====

(3)
A plane-wave DFT calculation with PBE-GGA was carried out for crystalline PmTh2Re9 at its relaxed geometry.

Geometry as extended XYZ:
```
12
Lattice="2.692 1.554 9.118 -2.692 1.554 9.118 0.000 -3.108 9.118" Properties=species:S:1:pos:R:3 pbc="T T T"
Pm 0.000 0.000 0.000
Th 0.000 0.000 3.968
Th 0.000 0.000 23.387
Re -1.363 -0.787 11.349
Re 0.000 0.000 9.191
Re 0.000 -1.574 16.006
Re -1.363 0.787 16.006
Re 0.000 0.000 13.678
Re 1.363 -0.787 11.349
Re 0.000 1.574 11.349
Re 0.000 0.000 18.164
Re 1.363 0.787 16.006
```

Properties
Uncorrected energy, eV for the cell shown: -131.17
Formation energy, eV per formula unit: 0.5
Space group: No. 166
Magnetic moment, μB/atom: 0.00

=====

(4)
A plane-wave DFT calculation with PBE-GGA was carried out for crystalline Tm2TaSi3Pt4 at its relaxed geometry.

Geometry as extended XYZ:
```
10
Lattice="4.116 0.000 0.000 0.000 4.116 0.000 0.000 0.000 10.566" Properties=species:S:1:pos:R:3 pbc="T T T"
Tm 0.000 2.058 2.474
Tm 2.058 0.000 8.092
Ta 0.000 0.000 5.283
Si 0.000 2.058 9.145
Si 2.058 0.000 1.421
Si 2.058 2.058 5.283
Pt 0.000 0.000 0.000
Pt 0.000 2.058 6.802
Pt 2.058 0.000 3.764
Pt 2.058 2.058 0.000
```

Properties
Uncorrected energy, eV for the cell shown: -71.06
Space group: No. 115
Magnetic moment, μB/atom: 0.00

=====

(5)
A plane-wave DFT calculation with PBE-GGA was carried out for crystalline Cs2ZnCdPt at its relaxed geometry.

Geometry as extended XYZ:
```
5
Lattice="6.773 0.000 0.000 0.000 6.773 0.000 0.000 0.000 4.881" Properties=species:S:1:pos:R:3 pbc="T T T"
Cs 0.000 3.387 0.000
Cs 3.387 0.000 0.000
Zn 0.000 0.000 2.441
Cd 3.387 3.387 2.441
Pt 0.000 0.000 0.000
```

Properties
Uncorrected energy, eV for the cell shown: -10.03
Polymorph energy (0 for the lowest one), meV per atom: 0.0
Formation energy, eV per formula unit: -0.1
Space group: No. 123
Magnetic moment, μB/atom: 0.00

=====

(6)
A plane-wave DFT calculation with PBE-GGA was carried out for crystalline ZrBe2Ru at its relaxed geometry.

Geometry as extended XYZ:
```
4
Lattice="0.000 2.962 2.962 2.962 0.000 2.962 2.962 2.962 0.000" Properties=species:S:1:pos:R:3 pbc="T T T"
Zr 0.000 0.000 0.000
Be 1.481 1.481 1.481
Be 4.443 4.443 4.443
Ru 2.962 2.962 2.962
```

Properties
Uncorrected energy, eV for the cell shown: -26.18
Polymorph energy (0 for the lowest one), meV per atom: 133.2
Formation energy, eV per formula unit: -0.9
Space group: No. 225
Magnetic moment, μB/atom: 0.00

=====

(7)
A plane-wave DFT calculation with PBE-GGA was carried out for crystalline PrYAlHg at its relaxed geometry.

Geometry as extended XYZ:
```
4
Lattice="3.633 0.000 0.000 0.000 3.633 0.000 0.000 0.000 7.911" Properties=species:S:1:pos:R:3 pbc="T T T"
Pr 0.000 0.000 0.000
Y 0.000 0.000 4.125
Al 1.816 1.816 5.943
Hg 1.816 1.816 2.234
```

Properties
Uncorrected energy, eV for the cell shown: -17.05
Polymorph energy (0 for the lowest one), meV per atom: 0.0
Formation energy, eV per formula unit: -1.8
Space group: No. 99
Magnetic moment, μB/atom: 0.00

=====

(8)
A plane-wave DFT calculation with PBE-GGA was carried out for crystalline Y2RuRh at its relaxed geometry.

Geometry as extended XYZ:
```
4
Lattice="0.000 3.420 3.432 3.415 0.000 3.432 3.415 3.420 0.000" Properties=species:S:1:pos:R:3 pbc="T T T"
Y 1.708 1.710 1.716
Y 5.123 5.129 5.148
Ru 0.000 0.000 0.000
Rh 3.415 3.420 3.432
```

Properties
Uncorrected energy, eV for the cell shown: -31.89
Formation energy, eV per formula unit: -2.3
Space group: No. 69
Magnetic moment, μB/atom: 0.00

=====

(9)
A plane-wave DFT calculation with PBE-GGA was carried out for crystalline Pm4Ho19Th6 at its relaxed geometry.

Geometry as extended XYZ:
```
29
Lattice="-6.227 6.227 6.227 6.227 -6.227 6.227 6.227 6.227 -6.227" Properties=species:S:1:pos:R:3 pbc="T T T"
Pm 4.001 4.001 -4.001
Pm 4.001 -4.001 4.001
Pm 2.227 2.227 2.227
Pm -4.001 4.001 4.001
Ho 0.000 0.000 0.000
Ho 3.288 0.000 0.000
Ho 9.167 0.000 0.000
Ho 7.038 -2.780 3.007
Ho 3.448 3.220 -0.810
Ho 3.220 -0.810 3.448
Ho 0.000 3.288 0.000
Ho 0.000 0.000 3.288
Ho 9.007 3.220 0.810
Ho 3.007 7.038 -2.780
Ho 5.417 2.780 3.007
Ho -0.810 3.448 3.220
Ho 3.007 5.417 2.780
Ho 2.780 3.007 5.417
Ho 0.000 9.167 0.000
Ho 0.000 0.000 9.167
Ho 3.220 0.810 9.007
Ho -2.780 3.007 7.038
Ho 0.810 9.007 3.220
Th 6.227 0.000 1.604
Th 6.227 4.623 0.000
Th 1.604 6.227 0.000
Th 4.623 0.000 6.227
Th 0.000 1.604 6.227
Th 0.000 6.227 4.623
```

Properties
Uncorrected energy, eV for the cell shown: -138.10
Formation energy, eV per formula unit: 12.4
Space group: No. 197
Magnetic moment, μB/atom: 0.00

=====

(10)
A plane-wave DFT calculation with PBE-GGA was carried out for crystalline Pm2Pr2Sm2Y at its relaxed geometry.

Geometry as extended XYZ:
```
7
Lattice="2.879 1.662 8.455 -2.879 1.662 8.455 0.000 -3.324 8.455" Properties=species:S:1:pos:R:3 pbc="T T T"
Pm 0.000 0.000 2.244
Pm 0.000 0.000 23.122
Pr 0.000 0.000 9.254
Pr 0.000 0.000 16.113
Sm 0.000 0.000 5.767
Sm 0.000 0.000 19.599
Y 0.000 0.000 12.683
```

Properties
Uncorrected energy, eV for the cell shown: -34.10
Formation energy, eV per formula unit: 0.9
Space group: No. 166
Magnetic moment, μB/atom: 0.00

=====

(11)
A plane-wave DFT calculation with PBE-GGA was carried out for crystalline Zr2VIr at its relaxed geometry.

Geometry as extended XYZ:
```
8
Lattice="5.032 -2.314 0.000 5.032 2.314 0.000 -2.070 0.000 6.226" Properties=species:S:1:pos:R:3 pbc="T T T"
Zr 0.956 0.000 1.150
Zr -0.059 0.000 4.260
Zr 8.053 0.000 1.965
Zr 7.038 0.000 5.076
V 2.828 0.000 3.592
V 5.166 0.000 2.634
Ir 3.668 0.000 0.540
Ir 4.327 0.000 5.686
```

Properties
Uncorrected energy, eV for the cell shown: -72.76
Polymorph energy (0 for the lowest one), meV per atom: 127.0
Formation energy, eV per formula unit: -1.3
Space group: No. 12
Magnetic moment, μB/atom: 0.00

=====

(12)
A plane-wave DFT calculation with PBE-GGA was carried out for crystalline FeP2Ir at its relaxed geometry.

Geometry as extended XYZ:
```
4
Lattice="1.479 0.854 7.127 -1.479 0.854 7.127 0.000 -1.707 7.127" Properties=species:S:1:pos:R:3 pbc="T T T"
Fe 0.000 0.000 0.000
P 0.000 0.000 5.740
P 0.000 0.000 10.963
Ir 0.000 0.000 16.486
```

Properties
Uncorrected energy, eV for the cell shown: -28.30
Polymorph energy (0 for the lowest one), meV per atom: 333.1
Formation energy, eV per formula unit: -0.2
Space group: No. 160
Magnetic moment, μB/atom: 0.34